{"formula": "NaInAs", "functional": "PBE-GGA", "state": "relaxed", "dft_energy_ev_per_atom": -3.09, "e_form_ev_per_atom": -0.19, "cell": [[4.3493, 0.0000, 0.0000], [-2.1746, 3.7666, 0.0000], [0.0000, 0.0000, 5.0776]], "species": ["Na", "In", "As"], "frac_coords": [[0.0000, 0.0000, 0.0000], [0.6667, 0.3333, 0.4441], [0.3333, 0.6667, 0.6543]]}